--- w ---
## SiCSe2 (PBE)

Data for a geometry-optimized SiCSe2 structure.

- Total moment: 0.00 μB per formula unit
- Space-group type: I-42d

Cell lengths 5.873, 5.873, 5.873 Å; angles 116.71, 116.71, 95.79 degrees
Fractional coordinates of all 8 atoms:
Si (0.000, 0.000, 0.000)
Si (0.750, 0.250, 0.500)
C (0.250, 0.750, 0.500)
C (0.500, 0.500, 0.000)
Se (0.176, 0.125, 0.551)
Se (0.375, 0.824, 0.949)
Se (0.574, 0.625, 0.449)
Se (0.875, 0.426, 0.051)


--- x ---
## SiCSe2 (PBE)

Data for a geometry-optimized SiCSe2 structure.

- Total moment: 0.00 μB per formula unit
- Space-group type: R-3m

Cell lengths 8.232, 8.232, 8.232 Å; angles 21.98, 21.98, 21.98 degrees
Fractional coordinates of all 4 atoms:
Si (0.000, 0.000, 0.000)
C (0.500, 0.500, 0.500)
Se (0.109, 0.109, 0.109)
Se (0.891, 0.891, 0.891)


--- y ---
## SiCSe2 (PBE)

Data for a geometry-optimized SiCSe2 structure.

- Total moment: 0.00 μB per formula unit
- Space-group type: R-3m

Cell lengths 7.392, 7.392, 7.392 Å; angles 29.63, 29.63, 29.63 degrees
Fractional coordinates of all 4 atoms:
Si (0.000, 0.000, 0.000)
C (0.500, 0.500, 0.500)
Se (0.416, 0.416, 0.416)
Se (0.584, 0.584, 0.584)


--- z ---
## SiCSe2 (PBE)

Data for a geometry-optimized SiCSe2 structure.

- Total moment: 0.00 μB per formula unit
- Space-group type: Fm-3m

Cell lengths 4.456, 4.456, 4.456 Å; angles 60.00, 60.00, 60.00 degrees
Fractional coordinates of all 4 atoms:
Si (0.000, 0.000, 0.000)
C (0.500, 0.500, 0.500)
Se (0.250, 0.250, 0.250)
Se (0.750, 0.750, 0.750)


Order from most stable to least stable according to the calculation: y, w, x, z


--- w ---
## Si2CSe (PBE)

Data for a geometry-optimized Si2CSe structure.

- Total moment: 0.00 μB per formula unit
- Space-group type: Fm-3m

Cell lengths 4.291, 4.291, 4.291 Å; angles 60.00, 60.00, 60.00 degrees
Fractional coordinates of all 4 atoms:
Si (0.250, 0.250, 0.250)
Si (0.750, 0.750, 0.750)
C (0.000, 0.000, 0.000)
Se (0.500, 0.500, 0.500)


--- x ---
## Si2CSe (PBE)

Data for a geometry-optimized Si2CSe structure.

- Total moment: 0.00 μB per formula unit
- Space-group type: I-42d

Cell lengths 6.434, 6.434, 6.434 Å; angles 136.24, 136.24, 63.61 degrees
Fractional coordinates of all 8 atoms:
Si (0.008, 0.625, 0.883)
Si (0.375, 0.258, 0.383)
Si (0.742, 0.125, 0.117)
Si (0.875, 0.992, 0.617)
C (0.000, 0.000, 0.000)
C (0.750, 0.250, 0.500)
Se (0.250, 0.750, 0.500)
Se (0.500, 0.500, 0.000)


Order from most stable to least stable according to the calculation: x, w


--- w ---
## SiC3Se (PBE)

Data for a geometry-optimized SiC3Se structure.

- Total moment: 0.00 μB per formula unit
- Space-group type: Pm-3m

Cell lengths 3.837, 3.837, 3.837 Å; angles 90.00, 90.00, 90.00 degrees
Fractional coordinates of all 5 atoms:
Si (0.000, 0.000, 0.000)
C (0.000, 0.000, 0.500)
C (0.000, 0.500, 0.000)
C (0.500, 0.000, 0.000)
Se (0.500, 0.500, 0.500)


--- x ---
## SiC3Se (PBE)

Data for a geometry-optimized SiC3Se structure.

- Total moment: 0.00 μB per formula unit
- Space-group type: Pm-3m

Cell lengths 3.882, 3.882, 3.882 Å; angles 90.00, 90.00, 90.00 degrees
Fractional coordinates of all 5 atoms:
Si (0.000, 0.000, 0.000)
C (0.000, 0.500, 0.500)
C (0.500, 0.000, 0.500)
C (0.500, 0.500, 0.000)
Se (0.500, 0.500, 0.500)


Order from most stable to least stable according to the calculation: w, x


--- w ---
## Sm3CSe (PBE)

Data for a geometry-optimized Sm3CSe structure.

- Total moment: 0.47 μB per formula unit
- Space-group type: Pnma

Cell lengths 5.323, 11.967, 8.122 Å; angles 90.00, 90.00, 90.00 degrees
Fractional coordinates of all 20 atoms:
Sm (0.000, 0.114, 0.114)
Sm (0.000, 0.386, 0.114)
Sm (0.000, 0.614, 0.886)
Sm (0.000, 0.886, 0.886)
Sm (0.001, 0.250, 0.612)
Sm (0.499, 0.750, 0.112)
Sm (0.500, 0.114, 0.386)
Sm (0.500, 0.386, 0.386)
Sm (0.500, 0.614, 0.614)
Sm (0.500, 0.886, 0.614)
Sm (0.501, 0.250, 0.888)
Sm (0.999, 0.750, 0.388)
C (0.001, 0.250, 0.911)
C (0.499, 0.750, 0.411)
C (0.501, 0.250, 0.589)
C (0.999, 0.750, 0.089)
Se (0.000, 0.000, 0.500)
Se (0.000, 0.500, 0.500)
Se (0.500, 0.000, 0.000)
Se (0.500, 0.500, 0.000)


--- x ---
## Sm3CSe (PBE)

Data for a geometry-optimized Sm3CSe structure.

- Total moment: 0.68 μB per formula unit
- Space-group type: C2/c

Cell lengths 9.073, 9.073, 6.473 Å; angles 102.79, 102.79, 91.68 degrees
Fractional coordinates of all 20 atoms:
Sm (0.066, 0.782, 0.951)
Sm (0.141, 0.560, 0.402)
Sm (0.218, 0.934, 0.549)
Sm (0.294, 0.496, 0.935)
Sm (0.440, 0.859, 0.098)
Sm (0.496, 0.294, 0.435)
Sm (0.504, 0.706, 0.565)
Sm (0.560, 0.141, 0.902)
Sm (0.706, 0.504, 0.065)
Sm (0.782, 0.066, 0.451)
Sm (0.859, 0.440, 0.598)
Sm (0.934, 0.218, 0.049)
C (0.274, 0.726, 0.250)
C (0.283, 0.717, 0.750)
C (0.717, 0.283, 0.250)
C (0.726, 0.274, 0.750)
Se (0.106, 0.249, 0.529)
Se (0.249, 0.106, 0.029)
Se (0.751, 0.894, 0.971)
Se (0.894, 0.751, 0.471)


Order from most stable to least stable according to the calculation: x, w


--- w ---
## SnCSe2 (PBE)

Data for a geometry-optimized SnCSe2 structure.

- Total moment: 0.00 μB per formula unit
- Space-group type: Fm-3m

Cell lengths 4.781, 4.781, 4.781 Å; angles 60.00, 60.00, 60.00 degrees
Fractional coordinates of all 4 atoms:
Sn (0.000, 0.000, 0.000)
C (0.500, 0.500, 0.500)
Se (0.250, 0.250, 0.250)
Se (0.750, 0.750, 0.750)


--- x ---
## SnCSe2 (PBE)

Data for a geometry-optimized SnCSe2 structure.

- Total moment: 0.00 μB per formula unit
- Space-group type: R-3m

Cell lengths 8.822, 8.822, 8.822 Å; angles 21.33, 21.33, 21.33 degrees
Fractional coordinates of all 4 atoms:
Sn (0.000, 0.000, 0.000)
C (0.500, 0.500, 0.500)
Se (0.114, 0.114, 0.114)
Se (0.886, 0.886, 0.886)


Order from most stable to least stable according to the calculation: x, w


--- w ---
## SnCSe2 (PBE)

Data for a geometry-optimized SnCSe2 structure.

- Total moment: 0.00 μB per formula unit
- Space-group type: I-42d

Cell lengths 6.415, 6.415, 6.415 Å; angles 120.68, 120.68, 88.83 degrees
Fractional coordinates of all 8 atoms:
Sn (0.000, 0.000, 0.000)
Sn (0.750, 0.250, 0.500)
C (0.250, 0.750, 0.500)
C (0.500, 0.500, 0.000)
Se (0.237, 0.625, 0.112)
Se (0.375, 0.487, 0.612)
Se (0.513, 0.125, 0.888)
Se (0.875, 0.763, 0.388)


--- x ---
## SnCSe2 (PBE)

Data for a geometry-optimized SnCSe2 structure.

- Total moment: 0.00 μB per formula unit
- Space-group type: R-3m

Cell lengths 8.335, 8.335, 8.335 Å; angles 26.84, 26.84, 26.84 degrees
Fractional coordinates of all 4 atoms:
Sn (0.000, 0.000, 0.000)
C (0.500, 0.500, 0.500)
Se (0.428, 0.428, 0.428)
Se (0.572, 0.572, 0.572)


Order from most stable to least stable according to the calculation: x, w


--- w ---
## Sn3CSe (PBE)

Data for a geometry-optimized Sn3CSe structure.

- Total moment: 0.00 μB per formula unit
- Space-group type: Pm-3m

Cell lengths 4.885, 4.885, 4.885 Å; angles 90.00, 90.00, 90.00 degrees
Fractional coordinates of all 5 atoms:
Sn (0.000, 0.000, 0.500)
Sn (0.000, 0.500, 0.000)
Sn (0.500, 0.000, 0.000)
C (0.000, 0.000, 0.000)
Se (0.500, 0.500, 0.500)


--- x ---
## Sn3CSe (PBE)

Data for a geometry-optimized Sn3CSe structure.

- Total moment: 1.14 μB per formula unit
- Space-group type: Pm-3m

Cell lengths 5.569, 5.569, 5.569 Å; angles 90.00, 90.00, 90.00 degrees
Fractional coordinates of all 5 atoms:
Sn (0.000, 0.000, 0.500)
Sn (0.000, 0.500, 0.000)
Sn (0.500, 0.000, 0.000)
C (0.500, 0.500, 0.500)
Se (0.000, 0.000, 0.000)


Order from most stable to least stable according to the calculation: w, x


--- w ---
## Sn2CSe (PBE)

Data for a geometry-optimized Sn2CSe structure.

- Total moment: 0.00 μB per formula unit
- Space-group type: Fm-3m

Cell lengths 4.859, 4.859, 4.859 Å; angles 60.00, 60.00, 60.00 degrees
Fractional coordinates of all 4 atoms:
Sn (0.250, 0.250, 0.250)
Sn (0.750, 0.750, 0.750)
C (0.000, 0.000, 0.000)
Se (0.500, 0.500, 0.500)


--- x ---
## Sn2CSe (PBE)

Data for a geometry-optimized Sn2CSe structure.

- Total moment: 0.00 μB per formula unit
- Space-group type: I-42d

Cell lengths 6.239, 6.239, 6.239 Å; angles 116.88, 116.88, 95.50 degrees
Fractional coordinates of all 8 atoms:
Sn (0.050, 0.625, 0.925)
Sn (0.375, 0.300, 0.425)
Sn (0.700, 0.125, 0.075)
Sn (0.875, 0.950, 0.575)
C (0.000, 0.000, 0.000)
C (0.750, 0.250, 0.500)
Se (0.250, 0.750, 0.500)
Se (0.500, 0.500, 0.000)


Order from most stable to least stable according to the calculation: x, w


--- w ---
## SrC3Se (PBE)

Data for a geometry-optimized SrC3Se structure.

- Total moment: 2.26 μB per formula unit
- Space-group type: Pm-3m

Cell lengths 4.785, 4.785, 4.785 Å; angles 90.00, 90.00, 90.00 degrees
Fractional coordinates of all 5 atoms:
Sr (0.000, 0.000, 0.000)
C (0.000, 0.000, 0.500)
C (0.000, 0.500, 0.000)
C (0.500, 0.000, 0.000)
Se (0.500, 0.500, 0.500)


--- x ---
## SrC3Se (PBE)

Data for a geometry-optimized SrC3Se structure.

- Total moment: 0.00 μB per formula unit
- Space-group type: Pm-3m

Cell lengths 4.132, 4.132, 4.132 Å; angles 90.00, 90.00, 90.00 degrees
Fractional coordinates of all 5 atoms:
Sr (0.000, 0.000, 0.000)
C (0.000, 0.500, 0.500)
C (0.500, 0.000, 0.500)
C (0.500, 0.500, 0.000)
Se (0.500, 0.500, 0.500)


Order from most stable to least stable according to the calculation: x, w


--- w ---
## SrCSe3 (PBE)

Data for a geometry-optimized SrCSe3 structure.

- Total moment: 0.00 μB per formula unit
- Space-group type: Pm-3m

Cell lengths 4.663, 4.663, 4.663 Å; angles 90.00, 90.00, 90.00 degrees
Fractional coordinates of all 5 atoms:
Sr (0.000, 0.000, 0.000)
C (0.500, 0.500, 0.500)
Se (0.000, 0.500, 0.500)
Se (0.500, 0.000, 0.500)
Se (0.500, 0.500, 0.000)


--- x ---
## SrCSe3 (PBE)

Data for a geometry-optimized SrCSe3 structure.

- Total moment: 3.44 μB per formula unit
- Space-group type: Pm-3m

Cell lengths 5.904, 5.904, 5.904 Å; angles 90.00, 90.00, 90.00 degrees
Fractional coordinates of all 5 atoms:
Sr (0.000, 0.000, 0.000)
C (0.500, 0.500, 0.500)
Se (0.000, 0.000, 0.500)
Se (0.000, 0.500, 0.000)
Se (0.500, 0.000, 0.000)


Order from most stable to least stable according to the calculation: w, x


--- w ---
## TaC3Se (PBE)

Data for a geometry-optimized TaC3Se structure.

- Total moment: 0.00 μB per formula unit
- Space-group type: Pm-3m

Cell lengths 3.833, 3.833, 3.833 Å; angles 90.00, 90.00, 90.00 degrees
Fractional coordinates of all 5 atoms:
Ta (0.000, 0.000, 0.000)
C (0.000, 0.500, 0.500)
C (0.500, 0.000, 0.500)
C (0.500, 0.500, 0.000)
Se (0.500, 0.500, 0.500)


--- x ---
## TaC3Se (PBE)

Data for a geometry-optimized TaC3Se structure.

- Total moment: 0.00 μB per formula unit
- Space-group type: Pm-3m

Cell lengths 4.245, 4.245, 4.245 Å; angles 90.00, 90.00, 90.00 degrees
Fractional coordinates of all 5 atoms:
Ta (0.000, 0.000, 0.000)
C (0.000, 0.000, 0.500)
C (0.000, 0.500, 0.000)
C (0.500, 0.000, 0.000)
Se (0.500, 0.500, 0.500)


Order from most stable to least stable according to the calculation: x, w


--- w ---
## Tb4CSe3 (PBE)

Data for a geometry-optimized Tb4CSe3 structure.

- Total moment: 0.00 μB per formula unit
- Space-group type: Cmmm

Cell lengths 6.981, 6.981, 3.922 Å; angles 90.00, 90.00, 108.71 degrees
Fractional coordinates of all 8 atoms:
Tb (0.212, 0.212, 0.500)
Tb (0.223, 0.777, 0.000)
Tb (0.777, 0.223, 0.000)
Tb (0.788, 0.788, 0.500)
C (0.000, 0.000, 0.000)
Se (0.000, 0.500, 0.500)
Se (0.500, 0.000, 0.500)
Se (0.500, 0.500, 0.000)


--- x ---
## Tb4CSe3 (PBE)

Data for a geometry-optimized Tb4CSe3 structure.

- Total moment: 0.00 μB per formula unit
- Space-group type: Pmn2_1

Cell lengths 8.930, 8.588, 5.671 Å; angles 90.00, 90.00, 90.00 degrees
Fractional coordinates of all 16 atoms:
Tb (0.000, 0.086, 0.000)
Tb (0.000, 0.818, 0.522)
Tb (0.225, 0.685, 0.004)
Tb (0.275, 0.315, 0.504)
Tb (0.500, 0.182, 0.022)
Tb (0.500, 0.914, 0.500)
Tb (0.725, 0.315, 0.504)
Tb (0.775, 0.685, 0.004)
C (0.000, 0.815, 0.958)
C (0.500, 0.185, 0.458)
Se (0.000, 0.139, 0.504)
Se (0.224, 0.345, 0.007)
Se (0.276, 0.655, 0.507)
Se (0.500, 0.861, 0.004)
Se (0.724, 0.655, 0.507)
Se (0.776, 0.345, 0.007)


Order from most stable to least stable according to the calculation: w, x